[1]
The following is a GGA-PBE calculation of an optimized crystal structure of AgPdS2, from Alexandria.

Structure (CIF):
```
data_AgPdS2
_chemical_formula_sum 'Ag2 Pd2 S4'
_cell_length_a 3.626
_cell_length_b 3.626
_cell_length_c 14.533
_cell_angle_alpha 90.00
_cell_angle_beta 90.00
_cell_angle_gamma 120.00
_symmetry_space_group_name_H-M 'P 1'
_symmetry_Int_Tables_number 1
_symmetry_space_group_name_Hall 'P 1'
loop_
_atom_site_label
_atom_site_type_symbol
_atom_site_fract_x
_atom_site_fract_y
_atom_site_fract_z
Ag1 Ag 0.667 0.333 0.750
Ag2 Ag 0.333 0.667 0.250
S1 S 0.333 0.667 0.414
S2 S 0.667 0.333 0.914
S3 S 0.667 0.333 0.586
Pd1 Pd 0.000 0.000 0.000
Pd2 Pd 0.000 0.000 0.500
S4 S 0.333 0.667 0.086
```

Calculated values
**Energy**: -33.39 eV for the cell shown

=====

[2]
The following is a GGA-PBE calculation of an optimized crystal structure of AgPd5S, from Alexandria.

Structure (CIF):
```
data_AgPd5S
_chemical_formula_sum 'Ag1 Pd5 S1'
_cell_length_a 3.983
_cell_length_b 3.983
_cell_length_c 7.012
_cell_angle_alpha 90.00
_cell_angle_beta 90.00
_cell_angle_gamma 90.00
_symmetry_space_group_name_H-M 'P 1'
_symmetry_Int_Tables_number 1
_symmetry_space_group_name_Hall 'P 1'
loop_
_atom_site_label
_atom_site_type_symbol
_atom_site_fract_x
_atom_site_fract_y
_atom_site_fract_z
Pd1 Pd 0.500 0.500 0.500
Pd2 Pd 0.500 0.000 0.795
Pd3 Pd 0.500 0.000 0.205
Ag1 Ag 0.000 0.000 0.500
Pd4 Pd 0.000 0.500 0.795
S1 S 0.500 0.500 0.000
Pd5 Pd 0.000 0.500 0.205
```

Calculated values
**Energy**: -33.69 eV for the cell shown

=====

[3]
The following is a GGA-PBE calculation of an optimized crystal structure of AgPd3S, from Alexandria.

Structure (CIF):
```
data_AgPd3S
_chemical_formula_sum 'Ag1 Pd3 S1'
_cell_length_a 4.487
_cell_length_b 4.487
_cell_length_c 4.487
_cell_angle_alpha 90.00
_cell_angle_beta 90.00
_cell_angle_gamma 90.00
_symmetry_space_group_name_H-M 'P 1'
_symmetry_Int_Tables_number 1
_symmetry_space_group_name_Hall 'P 1'
loop_
_atom_site_label
_atom_site_type_symbol
_atom_site_fract_x
_atom_site_fract_y
_atom_site_fract_z
Pd1 Pd 0.000 0.500 0.000
Ag1 Ag 0.500 0.500 0.500
Pd2 Pd 0.000 0.000 0.500
S1 S 0.000 0.000 0.000
Pd3 Pd 0.500 0.000 0.000
```

Calculated values
**Distance to the lowest polymorph of the same formula**: 1.22 kcal/mol of atoms

=====

[4]
The following is a GGA-PBE calculation of an optimized crystal structure of Ag2SbPdS, from Alexandria.

Structure (CIF):
```
data_Ag2SbPdS
_chemical_formula_sum 'Ag2 Sb1 Pd1 S1'
_cell_length_a 5.186
_cell_length_b 5.003
_cell_length_c 5.186
_cell_angle_alpha 90.00
_cell_angle_beta 90.00
_cell_angle_gamma 90.00
_symmetry_space_group_name_H-M 'P 1'
_symmetry_Int_Tables_number 1
_symmetry_space_group_name_Hall 'P 1'
loop_
_atom_site_label
_atom_site_type_symbol
_atom_site_fract_x
_atom_site_fract_y
_atom_site_fract_z
S1 S 0.500 0.500 0.500
Ag1 Ag 0.500 0.000 0.000
Sb1 Sb 0.000 0.000 0.000
Ag2 Ag 0.000 0.000 0.500
Pd1 Pd 0.000 0.500 0.000
```

Calculated values
**Energy**: -15.27 eV for the cell shown

=====

[5]
The following is a GGA-PBE calculation of an optimized crystal structure of Ag2SnPdS, from Alexandria.

Structure (CIF):
```
data_Ag2SnPdS
_chemical_formula_sum 'Ag2 Sn1 Pd1 S1'
_cell_length_a 5.181
_cell_length_b 4.978
_cell_length_c 5.181
_cell_angle_alpha 90.00
_cell_angle_beta 90.00
_cell_angle_gamma 90.00
_symmetry_space_group_name_H-M 'P 1'
_symmetry_Int_Tables_number 1
_symmetry_space_group_name_Hall 'P 1'
loop_
_atom_site_label
_atom_site_type_symbol
_atom_site_fract_x
_atom_site_fract_y
_atom_site_fract_z
S1 S 0.500 0.500 0.500
Ag1 Ag 0.500 0.000 0.000
Pd1 Pd 0.000 0.500 0.000
Sn1 Sn 0.000 0.000 0.000
Ag2 Ag 0.000 0.000 0.500
```

Calculated values
**Energy**: -14.74 eV for the cell shown

=====

[6]
The following is a GGA-PBE calculation of an optimized crystal structure of Ag3Sn3PdS8, from Alexandria.

Structure (CIF):
```
data_Ag3Sn3PdS8
_chemical_formula_sum 'Ag3 Sn3 Pd1 S8'
_cell_length_a 7.541
_cell_length_b 7.541
_cell_length_c 7.784
_cell_angle_alpha 119.03
_cell_angle_beta 90.00
_cell_angle_gamma 120.00
_symmetry_space_group_name_H-M 'P 1'
_symmetry_Int_Tables_number 1
_symmetry_space_group_name_Hall 'P 1'
loop_
_atom_site_label
_atom_site_type_symbol
_atom_site_fract_x
_atom_site_fract_y
_atom_site_fract_z
S1 S 0.770 0.540 0.272
Sn1 Sn 0.000 0.500 0.500
S2 S 0.230 0.460 0.728
S3 S 0.749 0.498 0.746
S4 S 0.231 0.002 0.272
Ag1 Ag 0.500 0.500 0.000
S5 S 0.769 0.998 0.728
S6 S 0.770 0.002 0.272
Ag2 Ag 0.000 0.500 0.000
Sn2 Sn 0.500 0.500 0.500
S7 S 0.251 0.502 0.254
Sn3 Sn 0.500 0.000 0.500
Ag3 Ag 0.000 0.000 0.000
S8 S 0.230 0.998 0.728
Pd1 Pd 0.000 0.000 0.500
```

Calculated values
**Energy**: -62.20 eV for the cell shown

=====

[7]
The following is a GGA-PBE calculation of an optimized crystal structure of TcAgPdS2, from Alexandria.

Structure (CIF):
```
data_TcAgPdS2
_chemical_formula_sum 'Tc1 Ag1 Pd1 S2'
_cell_length_a 4.633
_cell_length_b 5.109
_cell_length_c 4.633
_cell_angle_alpha 90.00
_cell_angle_beta 90.00
_cell_angle_gamma 90.00
_symmetry_space_group_name_H-M 'P 1'
_symmetry_Int_Tables_number 1
_symmetry_space_group_name_Hall 'P 1'
loop_
_atom_site_label
_atom_site_type_symbol
_atom_site_fract_x
_atom_site_fract_y
_atom_site_fract_z
Pd1 Pd 0.000 0.000 0.000
Ag1 Ag 0.500 0.500 0.500
S1 S 0.000 0.000 0.500
S2 S 0.500 0.000 0.000
Tc1 Tc 0.000 0.500 0.000
```

Calculated values
**Energy**: -21.63 eV for the cell shown

=====

[8]
The following is a GGA-PBE calculation of an optimized crystal structure of Ag2TePdS4, from Alexandria.

Structure (CIF):
```
data_Ag2TePdS4
_chemical_formula_sum 'Ag2 Te1 Pd1 S4'
_cell_length_a 5.641
_cell_length_b 5.646
_cell_length_c 7.277
_cell_angle_alpha 113.33
_cell_angle_beta 112.72
_cell_angle_gamma 89.99
_symmetry_space_group_name_H-M 'P 1'
_symmetry_Int_Tables_number 1
_symmetry_space_group_name_Hall 'P 1'
loop_
_atom_site_label
_atom_site_type_symbol
_atom_site_fract_x
_atom_site_fract_y
_atom_site_fract_z
Ag1 Ag 0.488 0.987 0.971
S1 S 0.339 0.842 0.207
Pd1 Pd 0.988 0.485 0.972
S2 S 0.634 0.599 0.737
Te1 Te 0.731 0.735 0.472
S3 S 0.870 0.375 0.211
S4 S 0.102 0.127 0.732
Ag2 Ag 0.234 0.236 0.472
```

Calculated values
**Energy**: -30.04 eV for the cell shown

=====

[9]
The following is a GGA-PBE calculation of an optimized crystal structure of Ti2Ag2PdS6, from Alexandria.

Structure (CIF):
```
data_Ti2Ag2PdS6
_chemical_formula_sum 'Ti2 Ag2 Pd1 S6'
_cell_length_a 6.058
_cell_length_b 6.058
_cell_length_c 7.402
_cell_angle_alpha 103.14
_cell_angle_beta 103.14
_cell_angle_gamma 118.25
_symmetry_space_group_name_H-M 'P 1'
_symmetry_Int_Tables_number 1
_symmetry_space_group_name_Hall 'P 1'
loop_
_atom_site_label
_atom_site_type_symbol
_atom_site_fract_x
_atom_site_fract_y
_atom_site_fract_z
S1 S 0.765 0.765 0.683
S2 S 0.137 0.479 0.725
S3 S 0.479 0.137 0.725
Ti1 Ti 0.307 0.693 0.500
S4 S 0.863 0.521 0.275
Ti2 Ti 0.693 0.307 0.500
Ag1 Ag 0.149 0.851 0.000
Pd1 Pd 0.000 0.000 0.500
S5 S 0.235 0.235 0.317
S6 S 0.521 0.863 0.275
Ag2 Ag 0.851 0.149 0.000
```

Calculated values
**Energy**: -58.81 eV for the cell shown

=====

[10]
The following is a GGA-PBE calculation of an optimized crystal structure of TlAgPdS2, from Alexandria.

Structure (CIF):
```
data_TlAgPdS2
_chemical_formula_sum 'Tl2 Ag2 Pd2 S4'
_cell_length_a 4.561
_cell_length_b 7.187
_cell_length_c 8.216
_cell_angle_alpha 115.94
_cell_angle_beta 90.00
_cell_angle_gamma 90.00
_symmetry_space_group_name_H-M 'P 1'
_symmetry_Int_Tables_number 1
_symmetry_space_group_name_Hall 'P 1'
loop_
_atom_site_label
_atom_site_type_symbol
_atom_site_fract_x
_atom_site_fract_y
_atom_site_fract_z
Pd1 Pd 0.500 0.750 0.000
Pd2 Pd 0.500 0.250 0.000
S1 S 0.501 0.394 0.788
Tl1 Tl 0.999 0.750 0.500
Tl2 Tl 0.001 0.250 0.500
S2 S 0.499 0.606 0.212
S3 S 0.499 0.894 0.788
S4 S 0.501 0.106 0.212
Ag1 Ag 0.000 0.500 0.000
Ag2 Ag 0.000 0.000 0.000
```

Calculated values
**Energy**: -39.33 eV for the cell shown

=====

Result set for spin magnetization: 0.00; 0.00; 0.00; 0.00; 0.00; 0.00; 4.05; 0.00; 0.00; 0.00 μB per formula unit, one per record in the order listed.